(1)
A geometry-optimized CdMoCl structure. Source: Alexandria, functional GGA-PBE.

a = 8.642 Å, b = 8.361 Å, c = 3.056 Å
α = 84.87°, β = 74.51°, γ = 20.62°
Element x y z (fractional)
Cd: 0.000 0.000 0.000
Mo: 0.349 0.349 0.651
Cl: 0.735 0.735 0.265

Output
Density of states at the Fermi level: 1.188 states/eV/atom
Energy above the most stable polymorph in this dataset: 228 meV per atom
DFT total energy: -4.2804 eV/atom



(2)
A geometry-optimized Na3NbO structure. Source: Alexandria, functional GGA-PBE.

a = 4.777 Å, b = 4.777 Å, c = 4.777 Å
α = 90.00°, β = 90.00°, γ = 90.00°
Element x y z (fractional)
Na: 0.000 0.000 0.500
Na: 0.000 0.500 0.000
Na: 0.500 0.000 0.000
Nb: 0.500 0.500 0.500
O: 0.000 0.000 0.000

Output
Density of states at the Fermi level: 0.487 states/eV/atom
Energy above the most stable polymorph in this dataset: 0 meV per atom
DFT total energy: -3.4734 eV/atom



(3)
A geometry-optimized MoAuSe2 structure. Source: Alexandria, functional GGA-PBE.

a = 2.915 Å, b = 2.915 Å, c = 10.809 Å
α = 90.00°, β = 90.00°, γ = 115.82°
Element x y z (fractional)
Mo: 0.000 0.000 0.000
Au: 0.000 0.000 0.500
Se: 0.500 0.500 0.191
Se: 0.500 0.500 0.809

Output
Density of states at the Fermi level: 0.728 states/eV/atom
Energy above the most stable polymorph in this dataset: 431 meV per atom
DFT total energy: -5.0097 eV/atom



(4)
A geometry-optimized Ba2PmSn3Rh4 structure. Source: Alexandria, functional GGA-PBE.

a = 4.618 Å, b = 4.618 Å, c = 11.575 Å
α = 90.00°, β = 90.00°, γ = 90.00°
Element x y z (fractional)
Ba: 0.000 0.500 0.236
Ba: 0.500 0.000 0.764
Pm: 0.000 0.000 0.500
Sn: 0.000 0.500 0.882
Sn: 0.500 0.000 0.118
Sn: 0.500 0.500 0.500
Rh: 0.000 0.000 0.000
Rh: 0.000 0.500 0.642
Rh: 0.500 0.000 0.358
Rh: 0.500 0.500 0.000

Output
Formation enthalpy at 0 K: -0.626 eV per atom
Density of states at the Fermi level: 0.730 states/eV/atom
DFT total energy: -5.6267 eV/atom



(5)
A geometry-optimized Ho2Mg2Al15 structure. Source: Alexandria, functional GGA-PBE.

a = 7.214 Å, b = 7.214 Å, c = 7.214 Å
α = 85.05°, β = 85.05°, γ = 85.05°
Element x y z (fractional)
Ho: 0.114 0.114 0.114
Ho: 0.886 0.886 0.886
Mg: 0.367 0.367 0.367
Mg: 0.633 0.633 0.633
Al: 0.000 0.000 0.500
Al: 0.000 0.286 0.714
Al: 0.000 0.500 0.000
Al: 0.000 0.714 0.286
Al: 0.150 0.637 0.637
Al: 0.286 0.000 0.714
Al: 0.286 0.714 0.000
Al: 0.363 0.363 0.850
Al: 0.363 0.850 0.363
Al: 0.500 0.000 0.000
Al: 0.637 0.150 0.637
Al: 0.637 0.637 0.150
Al: 0.714 0.000 0.286
Al: 0.714 0.286 0.000
Al: 0.850 0.363 0.363

Output
Formation enthalpy at 0 K: -0.040 eV per atom
Density of states at the Fermi level: 0.455 states/eV/atom
DFT total energy: -3.6444 eV/atom



(6)
A geometry-optimized HoSiC2 structure. Source: Alexandria, functional GGA-PBE.

a = 6.271 Å, b = 6.271 Å, c = 6.271 Å
α = 34.49°, β = 34.49°, γ = 34.49°
Element x y z (fractional)
Ho: 0.000 0.000 0.000
Si: 0.500 0.500 0.500
C: 0.403 0.403 0.403
C: 0.597 0.597 0.597

Output
Density of states at the Fermi level: 0.700 states/eV/atom
DFT total energy: -6.4804 eV/atom



(7)
A geometry-optimized Pa6GaSn structure. Source: Alexandria, functional GGA-PBE.

a = 6.498 Å, b = 6.498 Å, c = 4.516 Å
α = 90.00°, β = 90.00°, γ = 90.00°
Element x y z (fractional)
Pa: 0.000 0.500 0.000
Pa: 0.242 0.242 0.500
Pa: 0.242 0.758 0.500
Pa: 0.500 0.000 0.000
Pa: 0.758 0.242 0.500
Pa: 0.758 0.758 0.500
Ga: 0.000 0.000 0.000
Sn: 0.500 0.500 0.000

Output
Formation enthalpy at 0 K: -0.171 eV per atom
Density of states at the Fermi level: 2.377 states/eV/atom
DFT total energy: -8.1718 eV/atom



(8)
A geometry-optimized LiHfNpO6 structure. Source: Alexandria, functional GGA-PBE.

a = 4.922 Å, b = 4.922 Å, c = 9.589 Å
α = 90.00°, β = 90.00°, γ = 90.00°
Element x y z (fractional)
Li: 0.000 0.000 0.000
Li: 0.500 0.500 0.500
Hf: 0.000 0.000 0.671
Hf: 0.500 0.500 0.171
Np: 0.000 0.000 0.331
Np: 0.500 0.500 0.831
O: 0.182 0.182 0.494
O: 0.199 0.199 0.177
O: 0.207 0.207 0.824
O: 0.293 0.707 0.324
O: 0.301 0.699 0.677
O: 0.318 0.682 0.994
O: 0.682 0.318 0.994
O: 0.699 0.301 0.677
O: 0.707 0.293 0.324
O: 0.793 0.793 0.824
O: 0.801 0.801 0.177
O: 0.818 0.818 0.494

Output
DFT total energy: -8.8237 eV/atom



(9)
A geometry-optimized Li3Cd2Pt structure. Source: Alexandria, functional GGA-PBE.

a = 7.305 Å, b = 7.305 Å, c = 6.109 Å
α = 90.00°, β = 90.00°, γ = 143.48°
Element x y z (fractional)
Li: 0.000 0.000 0.231
Li: 0.000 0.000 0.769
Li: 0.322 0.678 0.217
Li: 0.322 0.678 0.783
Li: 0.678 0.322 0.217
Li: 0.678 0.322 0.783
Cd: 0.164 0.836 0.500
Cd: 0.500 0.500 0.000
Cd: 0.500 0.500 0.500
Cd: 0.836 0.164 0.500
Pt: 0.159 0.841 0.000
Pt: 0.841 0.159 0.000

Output
Formation enthalpy at 0 K: -0.367 eV per atom
Density of states at the Fermi level: 0.232 states/eV/atom
Energy above the most stable polymorph in this dataset: 0 meV per atom
DFT total energy: -2.6361 eV/atom



(10)
A geometry-optimized FeNiSnPd structure. Source: Alexandria, functional GGA-PBE.

a = 4.395 Å, b = 4.395 Å, c = 4.395 Å
α = 60.00°, β = 60.00°, γ = 60.00°
Element x y z (fractional)
Fe: 0.000 0.000 0.000
Ni: 0.250 0.250 0.250
Sn: 0.500 0.500 0.500
Pd: 0.750 0.750 0.750

Output
Formation enthalpy at 0 K: -0.109 eV per atom
Density of states at the Fermi level: 0.672 states/eV/atom
DFT total energy: -5.9686 eV/atom



(11)
A geometry-optimized CaHg4Bi structure. Source: Alexandria, functional GGA-PBE.

a = 6.134 Å, b = 6.134 Å, c = 6.134 Å
α = 60.00°, β = 60.00°, γ = 60.00°
Element x y z (fractional)
Ca: 0.000 0.000 0.000
Hg: 0.126 0.625 0.625
Hg: 0.625 0.126 0.625
Hg: 0.625 0.625 0.126
Hg: 0.625 0.625 0.625
Bi: 0.250 0.250 0.250

Output
Formation enthalpy at 0 K: -0.145 eV per atom
Density of states at the Fermi level: 0.514 states/eV/atom
Energy above the most stable polymorph in this dataset: 106 meV per atom
DFT total energy: -1.3265 eV/atom



(12)
A geometry-optimized CaGaRe3 structure. Source: Alexandria, functional GGA-PBE.

a = 4.645 Å, b = 4.645 Å, c = 4.645 Å
α = 90.00°, β = 90.00°, γ = 90.00°
Element x y z (fractional)
Ca: 0.000 0.000 0.000
Ga: 0.500 0.500 0.500
Re: 0.000 0.500 0.500
Re: 0.500 0.000 0.500
Re: 0.500 0.500 0.000

Output
Formation enthalpy at 0 K: 1.605 eV per atom
Density of states at the Fermi level: 1.464 states/eV/atom
Energy above the most stable polymorph in this dataset: 0 meV per atom
DFT total energy: -6.8698 eV/atom